# LaTb2Y2 (PBE, relaxed)
# E   -5.347 eV per atom
# Formation enthalpy at 0 K   0.077 eV per atom
data_LaTb2Y2
_space_group_name_H-M_alt 'P 4/m b m'
_space_group_IT_number 127
_space_group_name_Hall '-P 4 2ab'
_cell_length_a 9.488
_cell_length_b 9.488
_cell_length_c 3.780
_cell_angle_alpha 90.00
_cell_angle_beta 90.00
_cell_angle_gamma 90.00
loop_
_atom_site_label
_atom_site_type_symbol
_atom_site_fract_x
_atom_site_fract_y
_atom_site_fract_z
_atom_site_occupancy
La1 La 0.000 0.000 0.000 1
Tb1 Tb 0.125 0.375 0.000 1
Y1 Y 0.171 0.671 0.500 1

# LaPmCoCu (PBE, relaxed)
# E   -5.340 eV per atom
# Formation enthalpy at 0 K   -0.120 eV per atom
data_LaPmCoCu
_space_group_name_H-M_alt 'A m m 2'
_space_group_IT_number 38
_space_group_name_Hall 'A 2 -2'
_cell_length_a 4.296
_cell_length_b 3.918
_cell_length_c 10.840
_cell_angle_alpha 90.00
_cell_angle_beta 90.00
_cell_angle_gamma 90.00
loop_
_atom_site_label
_atom_site_type_symbol
_atom_site_fract_x
_atom_site_fract_y
_atom_site_fract_z
_atom_site_occupancy
La1 La 0.000 0.000 0.000 1
Pm1 Pm 0.500 0.000 0.726 1
Co1 Co 0.500 0.000 0.433 1
Cu1 Cu 0.000 0.000 0.294 1

# PmPr2Sb3Rh4 (PBE, relaxed)
# E   -6.439 eV per atom
# Formation energy from raw total energies   -0.831 eV per atom
data_PmPr2Sb3Rh4
_space_group_name_H-M_alt 'P -4 m 2'
_space_group_IT_number 115
_space_group_name_Hall 'P -4 -2'
_cell_length_a 4.457
_cell_length_b 4.457
_cell_length_c 11.440
_cell_angle_alpha 90.00
_cell_angle_beta 90.00
_cell_angle_gamma 90.00
loop_
_atom_site_label
_atom_site_type_symbol
_atom_site_fract_x
_atom_site_fract_y
_atom_site_fract_z
_atom_site_occupancy
Pm1 Pm 0.000 0.000 0.000 1
Pr1 Pr 0.000 0.500 0.723 1
Sb1 Sb 0.000 0.500 0.372 1
Sb2 Sb 0.500 0.500 0.000 1
Rh1 Rh 0.000 0.000 0.500 1
Rh2 Rh 0.000 0.500 0.148 1
Rh3 Rh 0.500 0.500 0.500 1